No. 1
Below is GeBPdAu after structural relaxation, with properties calculated at the GGA-PBE level.

- space-group type = F-43m (216)
- energy (eV per atom) = -4.213
- ΔE to the lowest computed polymorph (eV/atom) = 0.103

Cell lengths 4.406, 4.406, 4.406 Å; angles 60.00, 60.00, 60.00 degrees
Fractional positions:
B 0.000 0.000 0.000
Ge 0.250 0.250 0.250
Pd 0.500 0.500 0.500
Au 0.750 0.750 0.750


No. 2
Below is PrDyAg2O4 after structural relaxation, with properties calculated at the GGA-PBE level.

- space-group type = P-3m1 (164)
- energy (eV per atom) = -6.534

Cell lengths 3.604, 3.604, 12.509 Å; angles 90.00, 90.00, 120.00 degrees
Fractional positions:
O 0.667 0.333 0.579
Ag 0.333 0.667 0.256
Pr 0.000 0.000 0.000
O 0.333 0.667 0.421
O 0.333 0.667 0.091
Ag 0.667 0.333 0.744
O 0.667 0.333 0.909
Dy 0.000 0.000 0.500


No. 3
Below is BaSrPd3 after structural relaxation, with properties calculated at the GGA-PBE level.

- space-group type = P3m1 (156)
- energy (eV per atom) = -4.252

Cell lengths 4.536, 4.536, 8.418 Å; angles 90.00, 90.00, 120.00 degrees
Fractional positions:
Sr 0.667 0.333 0.725
Pd 0.000 0.000 0.921
Pd 0.333 0.667 0.993
Ba 0.000 0.000 0.287
Pd 0.667 0.333 0.073


No. 4
Below is LiZrNiPb after structural relaxation, with properties calculated at the GGA-PBE level.

- space-group type = F-43m (216)
- energy (eV per atom) = -5.129

Cell lengths 4.551, 4.551, 4.551 Å; angles 60.00, 60.00, 60.00 degrees
Fractional positions:
Pb 0.000 0.000 0.000
Zr 0.500 0.500 0.500
Li 0.250 0.250 0.250
Ni 0.750 0.750 0.750


No. 5
Below is YThB after structural relaxation, with properties calculated at the GGA-PBE level.

- space-group type = F-43m (216)
- energy (eV per atom) = -6.723
- ΔE to the lowest computed polymorph (eV/atom) = 0.000

Cell lengths 4.597, 4.597, 4.597 Å; angles 60.00, 60.00, 60.00 degrees
Fractional positions:
B 0.000 0.000 0.000
Y 0.750 0.750 0.750
Th 0.250 0.250 0.250


No. 6
Below is PrGaSiPt2 after structural relaxation, with properties calculated at the GGA-PBE level.

- space-group type = P4/nmm (129)
- energy (eV per atom) = -6.126
- ΔE to the lowest computed polymorph (eV/atom) = 0.000

Cell lengths 4.302, 4.302, 10.162 Å; angles 90.00, 90.00, 90.00 degrees
Fractional positions:
Pr 0.000 0.500 0.749
Ga 0.500 0.500 0.500
Pr 0.500 0.000 0.251
Ga 0.000 0.000 0.500
Si 0.000 0.500 0.126
Pt 0.500 0.000 0.641
Pt 0.000 0.500 0.359
Pt 0.000 0.000 0.000
Pt 0.500 0.500 0.000
Si 0.500 0.000 0.874


No. 7
Below is IrPd after structural relaxation, with properties calculated at the GGA-PBE level.

- space-group type = Fm-3m (225)
- energy (eV per atom) = -5.937
- E_form (eV per atom) = 1.078

Cell lengths 3.649, 3.649, 3.649 Å; angles 60.00, 60.00, 60.00 degrees
Fractional positions:
Ir 0.000 0.000 0.000
Pd 0.500 0.500 0.500


No. 8
Below is PmHgPO after structural relaxation, with properties calculated at the GGA-PBE level.

- space-group type = P4/nmm (129)
- energy (eV per atom) = -4.996
- ΔE to the lowest computed polymorph (eV/atom) = 0.355

Cell lengths 5.919, 5.919, 4.742 Å; angles 90.00, 90.00, 90.00 degrees
Fractional positions:
Pm 0.500 0.500 0.500
O 0.000 0.000 0.000
Hg 0.000 0.500 0.998
Pm 0.000 0.000 0.500
P 0.500 0.000 0.502
O 0.500 0.500 0.000
Hg 0.500 0.000 0.002
P 0.000 0.500 0.498


- energy of number 4 (LiZrNiPb)?
  -5.129 eV per atom


- Look up the energy of the eighth one.
  -4.996 eV per atom


- Among the records above, which one has the lowest energy?
  YThB